The following is a DFT calculation (PBE) of an optimized crystal structure of Ce2PrPuN4.

Symmetry: P2/m (10)
ρ (g/cm³): 9.24
Energy relative to the elements, uncorrected (eV/atom): -1.379

abc: 6.1934 3.5836 6.2007
angles: 90.00 109.65 90.00
With the nearest neighbours (Å) after each atom.
Positions (direct):
Ce  0.0000  0.0000  0.0000  6 N 2.47-2.48
Ce  0.0000  0.5000  0.5000  6 N 2.55-2.57
Pr  0.5000  0.0000  0.5000  6 N 2.59
Pu  0.5000  0.5000  0.0000  6 N 2.49-2.52
N  0.2387  0.5000  0.2358  3 Ce 2.47-2.55, 1 Pu 2.52, 2 Pr 2.59
N  0.2521  0.0000  0.7626  3 Ce 2.48-2.57, 2 Pu 2.49, 1 Pr 2.59
N  0.7479  0.0000  0.2374  3 Ce 2.48-2.57, 2 Pu 2.49, 1 Pr 2.59
N  0.7613  0.5000  0.7642  3 Ce 2.47-2.55, 1 Pu 2.52, 2 Pr 2.59